An optimized crystal structure of Ac6TlTe3Se2, computed with PBE.

For the total energy, the calculation gives -5.052 eV/atom. As for the density of states at the Fermi level: 6.350 states/eV/f.u. As for the theoretical density: 8.05 Mg/m³.

Cell lengths 8.048, 13.894, 8.215 Å; angles 90.00, 108.94, 90.00 degrees
Space group C2/m (No. 12)
One atom of each set of equivalent atoms:
Ac 0.239 0.000 0.232 [4 per cell]
Ac 0.247 0.331 0.234 [8 per cell]
Tl 0.000 0.500 0.000 [2 per cell]
Te 0.000 0.000 0.500 [2 per cell]
Te 0.000 0.335 0.500 [4 per cell]
Se 0.000 0.167 0.000 [4 per cell]

=====

An optimized crystal structure of Sc2TaHRu, computed with PBE.

For the total energy, the calculation gives -7.524 eV/atom. As for the density of states at the Fermi level: 4.438 states/eV/f.u. As for the theoretical density: 8.22 Mg/m³.

Cell lengths 4.062, 4.062, 4.564 Å; angles 90.00, 90.00, 90.00 degrees
Space group P4/mmm (No. 123)
One atom of each set of equivalent atoms:
Sc 0.000 0.500 0.000 [2 per cell]
Ta 0.000 0.000 0.500 [1 per cell]
H 0.000 0.000 0.000 [1 per cell]
Ru 0.500 0.500 0.500 [1 per cell]

=====

An optimized crystal structure of La3PmSb4, computed with PBE.

For the total energy, the calculation gives -5.756 eV/atom. As for the density of states at the Fermi level: 0.916 states/eV/f.u. As for the theoretical density: 6.35 Mg/m³.

Cell lengths 9.187, 12.990, 4.597 Å; angles 90.00, 90.00, 90.00 degrees
Space group Cmmm (No. 65)
One atom of each set of equivalent atoms:
La 0.000 0.000 0.000 [2 per cell]
La 0.250 0.250 0.500 [4 per cell]
Pm 0.000 0.500 0.000 [2 per cell]
Sb 0.000 0.252 0.000 [4 per cell]
Sb 0.246 0.500 0.500 [4 per cell]